Computed, not measured: Rb2U3VO12 after structural relaxation at the PBE+U level of DFT.

Lattice parameters (Å, degrees): 7.5286 7.5286 7.5286 63.23 63.23 63.23
Last column: nearest neighbours and their distance in Å.
Positions (direct):
Rb (0.1294, 0.1294, 0.1294)  9 O 3.33-3.60
Rb (0.8706, 0.8706, 0.8706)  9 O 3.33-3.60
U (0.0000, 0.5000, 0.5000)  6 O 2.01-2.13
U (0.5000, 0.0000, 0.5000)  6 O 2.01-2.13
U (0.5000, 0.5000, 0.0000)  6 O 2.01-2.13
V (0.5000, 0.5000, 0.5000)  6 O 1.95
O (0.1760, 0.1760, 0.5606)  2 U 2.13
O (0.1760, 0.5606, 0.1760)  2 U 2.13
O (0.2039, 0.5562, 0.5562)  1 V 1.95, 1 U 2.01
O (0.4394, 0.8240, 0.8240)  2 U 2.13
O (0.4438, 0.4438, 0.7961)  1 V 1.95, 1 U 2.01
O (0.4438, 0.7961, 0.4438)  1 V 1.95, 1 U 2.01
O (0.5562, 0.2039, 0.5562)  1 V 1.95, 1 U 2.01
O (0.5562, 0.5562, 0.2039)  1 V 1.95, 1 U 2.01
O (0.5606, 0.1760, 0.1760)  2 U 2.13
O (0.7961, 0.4438, 0.4438)  1 V 1.95, 1 U 2.01
O (0.8240, 0.4394, 0.8240)  2 U 2.13
O (0.8240, 0.8240, 0.4394)  2 U 2.13

Computed properties:
- VASP energy (eV/atom) = -8.437
- symmetry = R-3m, No. 166
- D(E_F) (states/eV/atom) = 0.311
- total magnetization (μB per formula unit) = 1.00